Record 1
Here is crystalline ZrTi2V at its relaxed geometry from Alexandria via LeMat-Bulk. Energies are from PBE.

The total energy comes out at -7.9082 eV/atom.

abc: 7.174 7.174 5.612
angles: 90.00 90.00 90.00
Space group I-42d (No. 122)
Unique sites:
Zr 0.000 0.000 0.000 [4 per cell]
Ti 0.221 0.250 0.625 [8 per cell]
V 0.000 0.000 0.500 [4 per cell]

---

Record 2
Here is crystalline Zr2Ti2V15 at its relaxed geometry from Alexandria via LeMat-Bulk. Energies are from PBE.

The total energy comes out at -8.8161 eV/atom.

abc: 9.0597 9.0597 12.2473
angles: 90.00 90.00 120.00
Space group R-3m (No. 166, hexagonal axes)
Unique sites:
Zr 0.0000 0.0000 0.1568 [6 per cell]
Ti 0.0000 0.0000 0.3983 [6 per cell]
V 0.0000 0.3099 0.5000 [18 per cell]
V 0.0000 0.5000 0.0000 [9 per cell]
V 0.0105 0.5053 0.6511 [18 per cell]

---

Record 3
Here is crystalline Zr2TiV at its relaxed geometry from Alexandria via LeMat-Bulk. Energies are from PBE.

The total energy comes out at -8.4229 eV/atom.

abc: 6.817 6.817 6.817
angles: 90.00 90.00 90.00
Space group Fm-3m (No. 225)
Unique sites:
Zr 0.250 0.250 0.250 [8 per cell]
Ti 0.000 0.000 0.000 [4 per cell]
V 0.000 0.000 0.500 [4 per cell]

---

Record 4
Here is crystalline ZrTi2V at its relaxed geometry from Alexandria via LeMat-Bulk. Energies are from PBE.

The total energy comes out at -8.1887 eV/atom.

abc: 6.571 6.571 6.571
angles: 90.00 90.00 90.00
Space group Fm-3m (No. 225)
Unique sites:
Zr 0.000 0.000 0.000 [4 per cell]
Ti 0.250 0.250 0.250 [8 per cell]
V 0.000 0.000 0.500 [4 per cell]

---

Record 5
Here is crystalline Zr2TiV at its relaxed geometry from Alexandria via LeMat-Bulk. Energies are from PBE.

The total energy comes out at -8.3791 eV/atom.

abc: 3.333 3.333 6.983
angles: 90.00 90.00 90.00
Space group P4/mmm (No. 123)
Unique sites:
Zr 0.000 0.000 0.237 [2 per cell]
Ti 0.500 0.500 0.500 [1 per cell]
V 0.500 0.500 0.000 [1 per cell]

---

Record 6
Here is crystalline ZrTi3V8 at its relaxed geometry from Alexandria via LeMat-Bulk. Energies are from PBE.

The total energy comes out at -8.7048 eV/atom.

abc: 5.1126 5.1126 8.1152
angles: 90.00 90.00 120.00
Space group P3m1 (No. 156)
Unique sites:
Zr 0.0000 0.0000 0.0000 [1 per cell]
Ti 0.0000 0.0000 0.3776 [1 per cell]
Ti 0.6667 0.3333 0.4995 [1 per cell]
Ti 0.6667 0.3333 0.8674 [1 per cell]
V 0.1623 0.3246 0.6796 [3 per cell]
V 0.3333 0.6667 0.4375 [1 per cell]
V 0.3333 0.6667 0.9340 [1 per cell]
V 0.5051 0.0102 0.1910 [3 per cell]

---

Record 7
Here is crystalline Zr2TiV at its relaxed geometry from Alexandria via LeMat-Bulk. Energies are from PBE.

The total energy comes out at -7.9867 eV/atom.

abc: 7.380 7.380 5.795
angles: 90.00 90.00 90.00
Space group I-42d (No. 122)
Unique sites:
Zr 0.238 0.250 0.125 [8 per cell]
Ti 0.000 0.000 0.500 [4 per cell]
V 0.000 0.000 0.000 [4 per cell]

---

Record 8
Here is crystalline ZrTi2V at its relaxed geometry from Alexandria via LeMat-Bulk. Energies are from PBE.

The total energy comes out at -8.2942 eV/atom.

abc: 3.235 3.235 6.760
angles: 90.00 90.00 90.00
Space group P4/mmm (No. 123)
Unique sites:
Zr 0.000 0.000 0.000 [1 per cell]
Ti 0.500 0.500 0.293 [2 per cell]
V 0.000 0.000 0.500 [1 per cell]